[1]
DFT (PBE) results for a relaxed structure of LiTm4Ru2.

## Properties
Its crystal system is trigonal. For the total energy, the calculation gives -5.821 eV per atom. The volume comes out at 22.01 A^3/atom. The total magnetization is 0.000 μB/atom. The energy relative to the elements comes out at -33.1 kJ per mole of atoms.

a b c (Å): 4.812 4.812 8.172
angles (deg): 72.88 72.88 60.00
Sites, in units of the cell vectors:
Li1 0.000 0.000 0.000
Tm1 0.871 0.871 0.386
Tm2 0.129 0.129 0.614
Tm3 0.621 0.621 0.137
Tm4 0.379 0.379 0.863
Ru1 0.747 0.747 0.758
Ru2 0.253 0.253 0.242

---

[2]
DFT (PBE) results for a relaxed structure of LiTm3Ru2.

## Properties
Its crystal system is tetragonal. For the total energy, the calculation gives -6.012 eV per atom. The volume comes out at 21.36 A^3/atom. The total magnetization is 0.000 μB/atom. The energy relative to the elements comes out at -35.3 kJ per mole of atoms.

a b c (Å): 3.373 3.373 11.264
angles (deg): 90.00 90.00 90.00
Sites, in units of the cell vectors:
Li1 0.500 0.500 0.500
Tm1 0.000 0.000 0.000
Tm2 0.000 0.000 0.708
Tm3 0.000 0.000 0.292
Ru1 0.500 0.500 0.844
Ru2 0.500 0.500 0.156

---

[3]
DFT (PBE) results for a relaxed structure of LiTm2Ru.

## Properties
Its crystal system is tetragonal. For the total energy, the calculation gives -5.331 eV per atom. The volume comes out at 22.83 A^3/atom. The total magnetization is 0.000 μB/atom. The energy relative to the elements comes out at -28.7 kJ per mole of atoms.

a b c (Å): 3.373 3.373 8.028
angles (deg): 90.00 90.00 90.00
Sites, in units of the cell vectors:
Ru1 0.500 0.500 0.000
Tm1 0.000 0.000 0.798
Tm2 0.000 0.000 0.202
Li1 0.500 0.500 0.500

---

[4]
DFT (PBE) results for a relaxed structure of LiTmRu.

## Properties
Its crystal system is tetragonal. For the total energy, the calculation gives -5.013 eV per atom. The volume comes out at 22.26 A^3/atom. The total magnetization is 0.157 μB/atom. The energy relative to the elements comes out at 20.0 kJ per mole of atoms.

a b c (Å): 3.716 3.716 10.022
angles (deg): 100.69 100.69 90.00
Last column: magnetic moment on the atom in μB.
Sites, in units of the cell vectors:
Li1 0.293 0.293 0.586  0.00
Li2 0.707 0.707 0.414  0.00
Tm1 0.101 0.101 0.202  -0.02
Tm2 0.899 0.899 0.798  -0.02
Ru1 0.564 0.564 0.128  0.47
Ru2 0.436 0.436 0.872  0.47

---

[5]
DFT (PBE) results for a relaxed structure of LiTm8Ru5.

## Properties
Its crystal system is tetragonal. For the total energy, the calculation gives -6.257 eV per atom. The volume comes out at 21.89 A^3/atom. The total magnetization is 0.000 μB/atom. The energy relative to the elements comes out at -24.4 kJ per mole of atoms.

a b c (Å): 7.357 7.357 7.357
angles (deg): 109.09 110.24 109.09
Sites, in units of the cell vectors:
Li1 0.250 0.500 0.750
Tm1 0.133 0.765 0.029
Tm2 0.971 0.105 0.736
Tm3 0.726 0.238 0.340
Tm4 0.660 0.385 0.898
Tm5 0.512 0.615 0.274
Tm6 0.632 0.895 0.867
Tm7 0.264 0.235 0.368
Tm8 0.102 0.762 0.488
Ru1 0.051 0.405 0.146
Ru2 0.854 0.905 0.259
Ru3 0.741 0.595 0.646
Ru4 0.500 0.000 0.500
Ru5 0.354 0.095 0.949

---

[6]
DFT (PBE) results for a relaxed structure of LiYTmRu.

## Properties
Its crystal system is cubic. For the total energy, the calculation gives -5.826 eV per atom. The volume comes out at 20.63 A^3/atom. The total magnetization is 0.000 μB/atom. The energy relative to the elements comes out at -28.4 kJ per mole of atoms.

a b c (Å): 4.886 4.886 4.886
angles (deg): 60.00 60.00 60.00
Sites, in units of the cell vectors:
Y1 0.750 0.750 0.750
Ru1 0.500 0.500 0.500
Tm1 0.250 0.250 0.250
Li1 0.000 0.000 0.000

---

[7]
DFT (PBE) results for a relaxed structure of LiTmZnRu.

## Properties
Its crystal system is cubic. For the total energy, the calculation gives -4.416 eV per atom. The volume comes out at 16.93 A^3/atom. The total magnetization is 0.000 μB/atom. The energy relative to the elements comes out at -17.6 kJ per mole of atoms.

a b c (Å): 4.575 4.575 4.575
angles (deg): 60.00 60.00 60.00
Sites, in units of the cell vectors:
Ru1 0.750 0.750 0.750
Zn1 0.000 0.000 0.000
Tm1 0.500 0.500 0.500
Li1 0.250 0.250 0.250

---

[8]
DFT (PBE) results for a relaxed structure of LiU2Ru4.

## Properties
Its crystal system is orthorhombic. For the total energy, the calculation gives -8.955 eV per atom. The volume comes out at 17.07 A^3/atom. The total magnetization is 0.000 μB/atom. The energy relative to the elements comes out at -15.1 kJ per mole of atoms.

a b c (Å): 3.941 5.526 5.526
angles (deg): 96.87 90.00 90.00
Sites, in units of the cell vectors:
Li1 0.500 0.500 0.500
U1 0.000 0.792 0.208
U2 0.000 0.208 0.792
Ru1 0.000 0.744 0.744
Ru2 0.000 0.256 0.256
Ru3 0.500 0.000 0.500
Ru4 0.500 0.500 0.000

---

[9]
DFT (PBE) results for a relaxed structure of LiVRu2.

## Properties
Its crystal system is trigonal. For the total energy, the calculation gives -7.126 eV per atom. The volume comes out at 14.22 A^3/atom. The total magnetization is 0.000 μB/atom. The energy relative to the elements comes out at 26.0 kJ per mole of atoms.

a b c (Å): 2.690 2.690 9.204
angles (deg): 81.60 81.60 60.00
Sites, in units of the cell vectors:
Ru1 0.084 0.084 0.748
Ru2 0.916 0.916 0.252
Li1 0.500 0.500 0.500
V1 0.000 0.000 0.000

---

[10]
DFT (PBE) results for a relaxed structure of LiV2Ru.

## Properties
Its crystal system is tetragonal. For the total energy, the calculation gives -6.872 eV per atom. The volume comes out at 14.56 A^3/atom. The total magnetization is 0.000 μB/atom. The energy relative to the elements comes out at 46.8 kJ per mole of atoms.

a b c (Å): 6.761 6.761 5.418
angles (deg): 51.39 51.39 90.00
Sites, in units of the cell vectors:
Ru1 0.000 0.000 0.000
Ru2 0.750 0.250 0.500
V1 0.650 0.125 0.250
V2 0.100 0.625 0.250
V3 0.375 0.350 0.750
V4 0.875 0.900 0.750
Li1 0.500 0.500 0.000
Li2 0.250 0.750 0.500

---

[11]
DFT (PBE) results for a relaxed structure of LiVRu.

## Properties
Its crystal system is trigonal. For the total energy, the calculation gives -6.741 eV per atom. The volume comes out at 13.11 A^3/atom. The total magnetization is 0.000 μB/atom. The energy relative to the elements comes out at 2.8 kJ per mole of atoms.

a b c (Å): 2.657 4.134 4.134
angles (deg): 120.00 90.00 90.00
Sites, in units of the cell vectors:
Ru1 0.972 0.000 0.000
Li1 0.335 0.667 0.333
V1 0.693 0.333 0.667

---

[12]
DFT (PBE) results for a relaxed structure of LiVRu2.

## Properties
Its crystal system is orthorhombic. For the total energy, the calculation gives -6.852 eV per atom. The volume comes out at 14.86 A^3/atom. The total magnetization is 0.117 μB/atom. The energy relative to the elements comes out at 52.5 kJ per mole of atoms.

a b c (Å): 5.454 5.454 5.454
angles (deg): 59.81 151.93 128.36
Last column: magnetic moment on the atom in μB.
Sites, in units of the cell vectors:
Li1 0.000 0.000 0.000  0.02
V1 0.000 0.500 0.500  0.42
Ru1 0.000 0.264 0.264  -0.03
Ru2 0.000 0.736 0.736  -0.03

---

What are the calculated density values for these records? In order: 9.5; 9.3; 8.1; 6.9; 10.1; 7.4; 8.4; 12.3; 7.6; 6.0; 6.7; 7.3 Mg/m³.